No. 1
Density functional theory data (PBE) for crystalline CaTePb2 at its relaxed geometry.

Results
- space group = R-3m
- total energy (eV/cell) = -39.66
- N(E_F) (states/eV/cell) = 5.6
- total moment (μB/f.u.) = 0.0
- V (Å³/cell) = 409

a = 4.168 Å, b = 4.168 Å, c = 27.169 Å
α = 90.00°, β = 90.00°, γ = 120.00°
Atoms (fractional coordinates):
Ca 0.000 0.000 0.000
Ca 0.333 0.667 0.667
Ca 0.667 0.333 0.333
Te 0.000 0.000 0.500
Te 0.333 0.667 0.167
Te 0.667 0.333 0.833
Pb 0.000 0.000 0.242
Pb 0.000 0.000 0.758
Pb 0.333 0.667 0.425
Pb 0.333 0.667 0.908
Pb 0.667 0.333 0.092
Pb 0.667 0.333 0.575


No. 2
Density functional theory data (PBE) for crystalline Hf8Zr3 at its relaxed geometry.

Results
- space group = C2/m
- total energy (eV/cell) = -104.58
- N(E_F) (states/eV/cell) = 16.7
- total moment (μB/f.u.) = 0.0
- V (Å³/cell) = 249

a = 3.179 Å, b = 3.179 Å, c = 28.554 Å
α = 93.38°, β = 93.38°, γ = 59.81°
Atoms (fractional coordinates):
Hf 0.045 0.045 0.136
Hf 0.136 0.136 0.409
Hf 0.318 0.318 0.955
Hf 0.409 0.409 0.225
Hf 0.591 0.591 0.775
Hf 0.682 0.682 0.045
Hf 0.864 0.864 0.591
Hf 0.955 0.955 0.864
Zr 0.227 0.227 0.682
Zr 0.500 0.500 0.500
Zr 0.773 0.773 0.318


No. 3
Density functional theory data (PBE) for crystalline Li2ReW at its relaxed geometry.

Results
- space group = C2/m
- total energy (eV/cell) = -55.31
- N(E_F) (states/eV/cell) = 3.9
- total moment (μB/f.u.) = 0.0
- V (Å³/cell) = 121

a = 5.189 Å, b = 9.672 Å, c = 2.608 Å
α = 90.00°, β = 112.27°, γ = 90.00°
Atoms (fractional coordinates):
Li 0.250 0.250 0.000
Li 0.250 0.750 0.000
Li 0.750 0.250 0.000
Li 0.750 0.750 0.000
Re 0.000 0.000 0.500
Re 0.500 0.500 0.500
W 0.000 0.500 0.500
W 0.500 0.000 0.500


No. 4
Density functional theory data (PBE) for crystalline YFe2Sb2 at its relaxed geometry.

Results
- space group = I4/mmm
- total energy (eV/cell) = -64.64
- N(E_F) (states/eV/cell) = 6.4
- total moment (μB/f.u.) = 1.2
- V (Å³/cell) = 193

a = 4.614 Å, b = 4.614 Å, c = 9.061 Å
α = 90.00°, β = 90.00°, γ = 90.00°
Atoms (fractional coordinates):
Y 0.000 0.000 0.000
Y 0.500 0.500 0.500
Fe 0.000 0.000 0.380
Fe 0.000 0.000 0.620
Fe 0.500 0.500 0.120
Fe 0.500 0.500 0.880
Sb 0.000 0.500 0.250
Sb 0.000 0.500 0.750
Sb 0.500 0.000 0.250
Sb 0.500 0.000 0.750


No. 5
Density functional theory data (PBE) for crystalline Hf2TaMo at its relaxed geometry.

Results
- space group = Fm-3m
- total energy (eV/cell) = -168.47
- N(E_F) (states/eV/cell) = 32.6
- total moment (μB/f.u.) = 0.0
- V (Å³/cell) = 306

a = 6.740 Å, b = 6.740 Å, c = 6.740 Å
α = 90.00°, β = 90.00°, γ = 90.00°
Atoms (fractional coordinates):
Hf 0.250 0.250 0.250
Hf 0.250 0.250 0.750
Hf 0.250 0.750 0.250
Hf 0.250 0.750 0.750
Hf 0.750 0.250 0.250
Hf 0.750 0.250 0.750
Hf 0.750 0.750 0.250
Hf 0.750 0.750 0.750
Ta 0.000 0.000 0.000
Ta 0.000 0.500 0.500
Ta 0.500 0.000 0.500
Ta 0.500 0.500 0.000
Mo 0.000 0.000 0.500
Mo 0.000 0.500 0.000
Mo 0.500 0.000 0.000
Mo 0.500 0.500 0.500


No. 6
Density functional theory data (PBE) for crystalline NbVN2 at its relaxed geometry.

Results
- space group = R-3m
- total energy (eV/cell) = -112.69
- N(E_F) (states/eV/cell) = 10.0
- total moment (μB/f.u.) = 0.0
- V (Å³/cell) = 151

a = 3.092 Å, b = 3.092 Å, c = 18.265 Å
α = 90.00°, β = 90.00°, γ = 120.00°
Atoms (fractional coordinates):
Nb 0.000 0.000 0.000
Nb 0.333 0.667 0.667
Nb 0.667 0.333 0.333
V 0.000 0.000 0.500
V 0.333 0.667 0.167
V 0.667 0.333 0.833
N 0.000 0.000 0.398
N 0.000 0.000 0.602
N 0.333 0.667 0.064
N 0.333 0.667 0.269
N 0.667 0.333 0.731
N 0.667 0.333 0.936


No. 7
Density functional theory data (PBE) for crystalline La3GaO at its relaxed geometry.

Results
- space group = P-1
- total energy (eV/cell) = -58.55
- N(E_F) (states/eV/cell) = 2.9
- total moment (μB/f.u.) = 0.0
- V (Å³/cell) = 298

a = 6.742 Å, b = 6.869 Å, c = 7.493 Å
α = 65.87°, β = 84.19°, γ = 70.32°
Atoms (fractional coordinates):
La 0.164 0.429 0.240
La 0.254 0.967 0.866
La 0.307 0.791 0.422
La 0.693 0.209 0.578
La 0.746 0.033 0.134
La 0.836 0.571 0.760
Ga 0.336 0.422 0.834
Ga 0.664 0.578 0.166
O 0.103 0.802 0.176
O 0.897 0.198 0.824


No. 8
Density functional theory data (PBE) for crystalline Pt3Au at its relaxed geometry.

Results
- space group = P-6m2
- total energy (eV/cell) = -21.20
- N(E_F) (states/eV/cell) = 5.7
- total moment (μB/f.u.) = 0.0
- V (Å³/cell) = 65

a = 2.808 Å, b = 2.808 Å, c = 9.535 Å
α = 90.00°, β = 90.00°, γ = 120.00°
Atoms (fractional coordinates):
Pt 0.000 0.000 0.000
Pt 0.667 0.333 0.245
Pt 0.667 0.333 0.755
Au 0.333 0.667 0.500


No. 9
Density functional theory data (PBE) for crystalline SrDy2Hg6 at its relaxed geometry.

Results
- space group = C2/m
- total energy (eV/cell) = -16.21
- N(E_F) (states/eV/cell) = 4.7
- total moment (μB/f.u.) = 0.0
- V (Å³/cell) = 238

a = 8.853 Å, b = 8.853 Å, c = 3.735 Å
α = 101.78°, β = 101.78°, γ = 56.78°
Atoms (fractional coordinates):
Sr 0.000 0.000 0.000
Dy 0.354 0.354 0.859
Dy 0.646 0.646 0.141
Hg 0.002 0.648 0.329
Hg 0.329 0.671 0.500
Hg 0.352 0.998 0.671
Hg 0.648 0.002 0.329
Hg 0.671 0.329 0.500
Hg 0.998 0.352 0.671


No. 10
Density functional theory data (PBE) for crystalline Ni2PtI at its relaxed geometry.

Results
- space group = I-42d
- total energy (eV/cell) = -66.29
- N(E_F) (states/eV/cell) = 21.0
- total moment (μB/f.u.) = 1.1
- V (Å³/cell) = 338

a = 6.212 Å, b = 6.212 Å, c = 8.758 Å
α = 90.00°, β = 90.00°, γ = 90.00°
Atoms (fractional coordinates):
Ni 0.236 0.250 0.125
Ni 0.250 0.736 0.375
Ni 0.250 0.764 0.875
Ni 0.264 0.250 0.625
Ni 0.736 0.750 0.625
Ni 0.750 0.236 0.875
Ni 0.750 0.264 0.375
Ni 0.764 0.750 0.125
Pt 0.000 0.000 0.000
Pt 0.000 0.500 0.250
Pt 0.500 0.000 0.750
Pt 0.500 0.500 0.500
I 0.000 0.000 0.500
I 0.000 0.500 0.750
I 0.500 0.000 0.250
I 0.500 0.500 0.000


No. 11
Density functional theory data (PBE) for crystalline Y3Ga6Pd20 at its relaxed geometry.

Results
- space group = Fm-3m
- total energy (eV/cell) = -160.74
- N(E_F) (states/eV/cell) = 15.9
- total moment (μB/f.u.) = 0.0
- V (Å³/cell) = 489

a = 8.841 Å, b = 8.841 Å, c = 8.841 Å
α = 60.00°, β = 60.00°, γ = 60.00°
Atoms (fractional coordinates):
Y 0.000 0.000 0.000
Y 0.250 0.250 0.250
Y 0.750 0.750 0.750
Ga 0.273 0.273 0.727
Ga 0.273 0.727 0.273
Ga 0.273 0.727 0.727
Ga 0.727 0.273 0.273
Ga 0.727 0.273 0.727
Ga 0.727 0.727 0.273
Pd 0.000 0.000 0.344
Pd 0.000 0.000 0.656
Pd 0.000 0.344 0.000
Pd 0.000 0.344 0.656
Pd 0.000 0.656 0.000
Pd 0.000 0.656 0.344
Pd 0.136 0.621 0.621
Pd 0.344 0.000 0.000
Pd 0.344 0.000 0.656
Pd 0.344 0.656 0.000
Pd 0.379 0.379 0.379
Pd 0.379 0.379 0.864
Pd 0.379 0.864 0.379
Pd 0.621 0.136 0.621
Pd 0.621 0.621 0.136
Pd 0.621 0.621 0.621
Pd 0.656 0.000 0.000
Pd 0.656 0.000 0.344
Pd 0.656 0.344 0.000
Pd 0.864 0.379 0.379


No. 12
Density functional theory data (PBE) for crystalline Tb2Ni4P3Ir at its relaxed geometry.

Results
- space group = P-4m2
- total energy (eV/cell) = -65.60
- N(E_F) (states/eV/cell) = 8.0
- total moment (μB/f.u.) = 0.0
- V (Å³/cell) = 147

a = 3.861 Å, b = 3.861 Å, c = 9.889 Å
α = 90.00°, β = 90.00°, γ = 90.00°
Atoms (fractional coordinates):
Tb 0.000 0.500 0.245
Tb 0.500 0.000 0.755
Ni 0.000 0.000 0.000
Ni 0.000 0.500 0.652
Ni 0.500 0.000 0.348
Ni 0.500 0.500 0.000
P 0.000 0.500 0.874
P 0.500 0.000 0.126
P 0.500 0.500 0.500
Ir 0.000 0.000 0.500